1.
A relaxed TlW2Br crystal. Source: Alexandria via LeMat-Bulk, functional GGA-PBE.

abc: 10.3411 10.3411 10.3411
angles: 18.38 18.38 18.38
Atoms (fractional coordinates):
Tl (0.2647, 0.2647, 0.2647)
W (0.7407, 0.7407, 0.7407)
Br (0.4748, 0.4748, 0.4748)
W (0.0198, 0.0198, 0.0198)

Computed properties:
energy relative to the elements, uncorrected: 0.4649 eV/atom
energy relative to the lowest polymorph listed for this composition: 19 meV per atom
space group: R3m
density of states at the Fermi level: 3.430 states/eV per cell

***

2.
A relaxed TlW3Br crystal. Source: Alexandria via LeMat-Bulk, functional GGA-PBE.

abc: 5.0662 5.0662 5.0662
angles: 90.00 90.00 90.00
Atoms (fractional coordinates):
W (0.0000, 0.5000, 0.0000)
W (0.0000, 0.0000, 0.5000)
Br (0.5000, 0.5000, 0.5000)
Tl (0.0000, 0.0000, 0.0000)
W (0.5000, 0.0000, 0.0000)

Computed properties:
energy relative to the elements, uncorrected: 3.4851 eV/atom
energy relative to the lowest polymorph listed for this composition: 1281 meV per atom
space group: Pm-3m
density of states at the Fermi level: 11.808 states/eV per cell